Entry 1:
## CrFe2SbAs (GGA-PBE)

Data for crystalline CrFe2SbAs at its relaxed geometry.

Computed properties:
**Formation energy from raw total energies**: 6.5 eV/f.u.
**Density of states at the Fermi level**: 8.3 states/eV/f.u.
**Total energy**: -0.21164 Ha/atom
**Theoretical density**: 5.83 Mg/m³
**Total magnetization**: 5.00 Bohr magnetons per cell

Structure (CIF):
```
data_CrFe2SbAs
_symmetry_space_group_name_H-M 'P 4/m m m'
_symmetry_Int_Tables_number 123
_symmetry_space_group_name_Hall '-P 4 2'
_cell_length_a 4.334
_cell_length_b 4.334
_cell_length_c 5.464
_cell_angle_alpha 90.00
_cell_angle_beta 90.00
_cell_angle_gamma 90.00
loop_
_atom_site_label
_atom_site_type_symbol
_atom_site_fract_x
_atom_site_fract_y
_atom_site_fract_z
_atom_site_occupancy
Cr1 Cr 0.000 0.000 0.000 1
Fe1 Fe 0.000 0.500 0.500 1
Sb1 Sb 0.500 0.500 0.000 1
As1 As 0.500 0.500 0.500 1
```

=====

Entry 2:
## Sc2CrFeAs (GGA-PBE)

Data for crystalline Sc2CrFeAs at its relaxed geometry.

Computed properties:
**Formation energy from the elements**: 0.501 eV/atom
**Density of states at the Fermi level**: 7.4 states/eV/f.u.
**Total energy**: -0.24176 Ha/atom
**Theoretical density**: 4.42 Mg/m³
**Total magnetization**: 3.01 Bohr magnetons per cell

Structure (CIF):
```
data_Sc2CrFeAs
_symmetry_space_group_name_H-M 'P 4/m m m'
_symmetry_Int_Tables_number 123
_symmetry_space_group_name_Hall '-P 4 2'
_cell_length_a 4.780
_cell_length_b 4.780
_cell_length_c 4.478
_cell_angle_alpha 90.00
_cell_angle_beta 90.00
_cell_angle_gamma 90.00
loop_
_atom_site_label
_atom_site_type_symbol
_atom_site_fract_x
_atom_site_fract_y
_atom_site_fract_z
_atom_site_occupancy
Sc1 Sc 0.000 0.500 0.000 1
Cr1 Cr 0.000 0.000 0.000 1
Fe1 Fe 0.500 0.500 0.500 1
As1 As 0.000 0.000 0.500 1
```

=====

Entry 3:
## CrFeAs2Se (GGA-PBE)

Data for crystalline CrFeAs2Se at its relaxed geometry.

Computed properties:
**Formation energy from raw total energies**: 3.6 eV/f.u.
**Density of states at the Fermi level**: 7.6 states/eV/f.u.
**Polymorph energy (0 for the lowest one)**: 0.000 eV/atom
**Total energy**: -0.20029 Ha/atom
**Theoretical density**: 5.32 Mg/m³
**Total magnetization**: 5.00 Bohr magnetons per cell

Structure (CIF):
```
data_CrFeAs2Se
_symmetry_space_group_name_H-M 'P 4/m m m'
_symmetry_Int_Tables_number 123
_symmetry_space_group_name_Hall '-P 4 2'
_cell_length_a 4.595
_cell_length_b 4.595
_cell_length_c 4.981
_cell_angle_alpha 90.00
_cell_angle_beta 90.00
_cell_angle_gamma 90.00
loop_
_atom_site_label
_atom_site_type_symbol
_atom_site_fract_x
_atom_site_fract_y
_atom_site_fract_z
_atom_site_occupancy
Cr1 Cr 0.000 0.000 0.000 1
Fe1 Fe 0.500 0.500 0.500 1
As1 As 0.000 0.500 0.000 1
Se1 Se 0.000 0.000 0.500 1
```

=====

Entry 4:
## Cr2FeSiAs (GGA-PBE)

Data for crystalline Cr2FeSiAs at its relaxed geometry.

Computed properties:
**Formation energy from raw total energies**: 5.6 eV/f.u.
**Density of states at the Fermi level**: 13.0 states/eV/f.u.
**Total energy**: -0.23653 Ha/atom
**Theoretical density**: 5.52 Mg/m³
**Total magnetization**: 0.00 Bohr magnetons per cell

Structure (CIF):
```
data_Cr2FeSiAs
_symmetry_space_group_name_H-M 'P 4/m m m'
_symmetry_Int_Tables_number 123
_symmetry_space_group_name_Hall '-P 4 2'
_cell_length_a 4.334
_cell_length_b 4.334
_cell_length_c 4.211
_cell_angle_alpha 90.00
_cell_angle_beta 90.00
_cell_angle_gamma 90.00
loop_
_atom_site_label
_atom_site_type_symbol
_atom_site_fract_x
_atom_site_fract_y
_atom_site_fract_z
_atom_site_occupancy
Cr1 Cr 0.000 0.500 0.000 1
Fe1 Fe 0.000 0.000 0.500 1
Si1 Si 0.500 0.500 0.500 1
As1 As 0.000 0.000 0.000 1
```

=====

Entry 5:
## Cr2Ga2As (GGA-PBE)

Data for crystalline Cr2Ga2As at its relaxed geometry.

Computed properties:
**Formation energy from the elements**: 0.054 eV/atom
**Density of states at the Fermi level**: 4.2 states/eV/f.u.
**Total energy**: -0.21814 Ha/atom
**Theoretical density**: 6.96 Mg/m³
**Total magnetization**: 7.00 Bohr magnetons per cell

Structure (CIF):
```
data_Cr2Ga2As
_symmetry_space_group_name_H-M 'P 4/m b m'
_symmetry_Int_Tables_number 127
_symmetry_space_group_name_Hall '-P 4 2ab'
_cell_length_a 6.248
_cell_length_b 6.248
_cell_length_c 3.893
_cell_angle_alpha 90.00
_cell_angle_beta 90.00
_cell_angle_gamma 90.00
loop_
_atom_site_label
_atom_site_type_symbol
_atom_site_fract_x
_atom_site_fract_y
_atom_site_fract_z
_atom_site_occupancy
Cr1 Cr 0.156 0.344 0.000 1
Ga1 Ga 0.150 0.650 0.500 1
As1 As 0.000 0.000 0.000 1
```

=====

Entry 6:
## Cr2GaAs (GGA-PBE)

Data for crystalline Cr2GaAs at its relaxed geometry.

Computed properties:
**Formation energy from the elements**: 0.186 eV/atom
**Density of states at the Fermi level**: 3.6 states/eV/f.u.
**Polymorph energy (0 for the lowest one)**: 0.000 eV/atom
**Total energy**: -0.24052 Ha/atom
**Theoretical density**: 7.46 Mg/m³
**Total magnetization**: 15.21 Bohr magnetons per cell

Structure (CIF):
```
data_Cr2GaAs
_symmetry_space_group_name_H-M 'F m -3 m'
_symmetry_Int_Tables_number 225
_symmetry_space_group_name_Hall '-F 4 2 3'
_cell_length_a 6.049
_cell_length_b 6.049
_cell_length_c 6.049
_cell_angle_alpha 90.00
_cell_angle_beta 90.00
_cell_angle_gamma 90.00
loop_
_atom_site_label
_atom_site_type_symbol
_atom_site_fract_x
_atom_site_fract_y
_atom_site_fract_z
_atom_site_occupancy
Cr1 Cr 0.250 0.250 0.250 1
Ga1 Ga 0.000 0.000 0.000 1
As1 As 0.000 0.000 0.500 1
```

=====

Entry 7:
## Cr2GaAs2 (GGA-PBE)

Data for crystalline Cr2GaAs2 at its relaxed geometry.

Computed properties:
**Formation energy from the elements**: 0.069 eV/atom
**Density of states at the Fermi level**: 3.6 states/eV/f.u.
**Total energy**: -0.22951 Ha/atom
**Theoretical density**: 7.19 Mg/m³
**Total magnetization**: 5.76 Bohr magnetons per cell

Structure (CIF):
```
data_Cr2GaAs2
_symmetry_space_group_name_H-M 'P 4/m b m'
_symmetry_Int_Tables_number 127
_symmetry_space_group_name_Hall '-P 4 2ab'
_cell_length_a 6.847
_cell_length_b 6.847
_cell_length_c 3.190
_cell_angle_alpha 90.00
_cell_angle_beta 90.00
_cell_angle_gamma 90.00
loop_
_atom_site_label
_atom_site_type_symbol
_atom_site_fract_x
_atom_site_fract_y
_atom_site_fract_z
_atom_site_occupancy
Cr1 Cr 0.143 0.357 0.000 1
Ga1 Ga 0.000 0.000 0.000 1
As1 As 0.150 0.650 0.500 1
```

=====

Entry 8:
## CrGa2As (GGA-PBE)

Data for crystalline CrGa2As at its relaxed geometry.

Computed properties:
**Formation energy from the elements**: 0.475 eV/atom
**Density of states at the Fermi level**: 5.5 states/eV/f.u.
**Total energy**: -0.16928 Ha/atom
**Theoretical density**: 6.44 Mg/m³
**Total magnetization**: 0.00 Bohr magnetons per cell

Structure (CIF):
```
data_CrGa2As
_symmetry_space_group_name_H-M 'I -4 2 d'
_symmetry_Int_Tables_number 122
_symmetry_space_group_name_Hall 'I -4 2bw'
_cell_length_a 7.454
_cell_length_b 7.454
_cell_length_c 4.946
_cell_angle_alpha 90.00
_cell_angle_beta 90.00
_cell_angle_gamma 90.00
loop_
_atom_site_label
_atom_site_type_symbol
_atom_site_fract_x
_atom_site_fract_y
_atom_site_fract_z
_atom_site_occupancy
Cr1 Cr 0.000 0.000 0.000 1
Ga1 Ga 0.223 0.250 0.125 1
As1 As 0.000 0.000 0.500 1
```

=====

Q: Among the records above, which one has the highest total magnetization?
A: Cr2GaAs

=====

Q: Which value of theoretical density does entry 4 give?
A: 5.52 Mg/m³

=====

Q: Which of these has the lowest theoretical density?
A: Sc2CrFeAs